A plane-wave DFT calculation with GGA-PBE was carried out for a relaxed structure of Pr4As2PBr.

abc: 7.3810 4.2723 7.4859
angles: 90.00 109.20 90.00
Last column: nearest neighbours and their distance in Å.
Atoms (fractional coordinates):
Pr 0.2354 0.0000 0.2279  3 As 2.92-3.08, 1 P 2.99, 2 Br 3.15
Pr 0.2481 0.5000 0.7636  3 As 2.94-3.07, 2 P 3.00, 1 Br 3.12
Pr 0.7519 0.5000 0.2364  3 As 2.94-3.07, 2 P 3.00, 1 Br 3.12
Pr 0.7646 0.0000 0.7721  3 As 2.92-3.08, 1 P 2.99, 2 Br 3.15
As 0.0000 0.0000 0.5000  6 Pr 3.07-3.08
As 0.0000 0.5000 0.0000  6 Pr 2.92-2.94
P 0.5000 0.0000 0.0000  6 Pr 2.99-3.00
Br 0.5000 0.5000 0.5000  6 Pr 3.12-3.15

Output
Total energy in eV/atom: -5.937
E_form (uncorrected) in eV/atom: -1.50
Symmetry: P2/m, No. 10
Fermi-level density of states in states/eV/cell: 2.719